Entry from Alexandria via LeMat-Bulk: a PBEsol-optimized structure of B2TePt (meta-GGA SCAN).

a = 5.1251 Å, b = 5.1251 Å, c = 9.6614 Å
α = 90.00°, β = 90.00°, γ = 90.00°
Closest atoms and distances in Å follow each position.
Space group I-42d (No. 122)
Inequivalent atoms, fractional coordinates:
1 B 0.2120 0.2500 0.1250 [8 per cell]  2 Pt 2.07, 2 Te 2.30
2 Te 0.0000 0.0000 0.5000 [4 per cell]  4 B 2.30
3 Pt 0.0000 0.0000 0.0000 [4 per cell]  4 B 2.07

## Properties
Formation energy without anion corrections (eV/atom): 0.337
VASP energy (eV per cell): -483.83